# Cu3PdRu

A relaxed structure of Cu3PdRu (GGA-PBE, Alexandria via LeMat-Bulk).

Output
Calculated volume (Å³/atom): 19.0
Calculated total energy (eV for the cell shown): -20.10
Polymorph energy (0 for the lowest one) (meV per atom): 0
Crystal system: cubic
Spin magnetization (μB per formula unit): 1.8

Unit cell a=4.5632 b=4.5632 c=4.5632 alpha=90.00 beta=90.00 gamma=90.00
Closest atoms and distances in Å follow each position.
Sites, in units of the cell vectors:
Cu 0.0000 0.5000 0.0000  2 Ru 2.28
Cu 0.5000 0.0000 0.0000  2 Ru 2.28
Cu 0.0000 0.0000 0.5000  2 Ru 2.28
Ru 0.0000 0.0000 0.0000  6 Cu 2.28
Pd 0.5000 0.5000 0.5000  12 Cu 3.23